An optimized crystal structure of RbTePbO4. Source: Alexandria via LeMat-Bulk, functional PBE.

Calculated values
Formation energy from raw total energies ... -1.139 eV/atom
Magnetic moment ... 0.00 μB per formula unit
Crystal system ... monoclinic

Unit cell a=6.245 b=6.522 c=8.314 alpha=90.00 beta=110.65 gamma=90.00
Sites, in units of the cell vectors:
Rb (0.052, 0.250, 0.162)
Rb (0.948, 0.750, 0.838)
Te (0.422, 0.250, 0.732)
Te (0.578, 0.750, 0.268)
Pb (0.210, 0.750, 0.486)
Pb (0.790, 0.250, 0.514)
O (0.245, 0.750, 0.199)
O (0.246, 0.503, 0.702)
O (0.246, 0.997, 0.702)
O (0.405, 0.250, 0.497)
O (0.595, 0.750, 0.503)
O (0.754, 0.003, 0.298)
O (0.754, 0.497, 0.298)
O (0.755, 0.250, 0.801)